Material: Ce2SbRh3
Method: DFT, PBE
State: optimized geometry

```
Ce2SbRh3
1.0
2.842 1.641 4.172
-2.842 1.641 4.172
0.000 -3.281 4.172
Ce Sb Rh
2 1 3
Cartesian
0.000 0.000 1.468
0.000 0.000 11.049
0.000 0.000 6.258
-1.421 -0.820 4.172
-1.421 0.820 8.345
0.000 1.641 4.172
```

## Properties
Volume   19.45 Å³ per atom
E above lowest polymorph   0 meV/atom
Uncorrected formation energy   -0.82 eV per atom
Space-group type   No. 166
Total DFT energy (no corrections)   -7.156 eV per atom

---

Material: Ce2ScSb3Rh4
Method: DFT, PBE
State: optimized geometry

```
Ce2ScSb3Rh4
1.0
4.294 0.000 0.000
0.000 4.294 0.000
0.000 0.000 11.489
Ce Sc Sb Rh
2 1 3 4
Cartesian
0.000 2.147 2.775
2.147 0.000 8.714
0.000 0.000 5.744
0.000 2.147 9.961
2.147 0.000 1.528
2.147 2.147 5.744
0.000 0.000 0.000
0.000 2.147 7.378
2.147 0.000 4.111
2.147 2.147 0.000
```

## Properties
Volume   21.19 Å³ per atom
Uncorrected formation energy   -0.85 eV per atom
Space-group type   No. 115
Total DFT energy (no corrections)   -6.848 eV per atom

---

Material: CeSbRhSe
Method: DFT, PBE
State: optimized geometry

```
CeSbRhSe
1.0
4.582 0.000 0.000
0.000 4.582 0.000
0.000 0.000 8.771
Ce Sb Rh Se
2 2 2 2
Cartesian
1.146 1.146 1.811
3.437 3.437 6.960
1.146 1.146 5.731
3.437 3.437 3.039
1.146 3.437 4.385
3.437 1.146 4.385
1.146 3.437 0.000
3.437 1.146 0.000
```

## Properties
Volume   23.02 Å³ per atom
Uncorrected formation energy   -1.02 eV per atom
Space-group type   No. 129
Total DFT energy (no corrections)   -6.247 eV per atom

---

Please write out number 1 again, unchanged.
Material: Ce2SbRh3
Method: DFT, PBE
State: optimized geometry

```
Ce2SbRh3
1.0
2.842 1.641 4.172
-2.842 1.641 4.172
0.000 -3.281 4.172
Ce Sb Rh
2 1 3
Cartesian
0.000 0.000 1.468
0.000 0.000 11.049
0.000 0.000 6.258
-1.421 -0.820 4.172
-1.421 0.820 8.345
0.000 1.641 4.172
```

## Properties
Volume   19.45 Å³ per atom
E above lowest polymorph   0 meV/atom
Uncorrected formation energy   -0.82 eV per atom
Space-group type   No. 166
Total DFT energy (no corrections)   -7.156 eV per atom